(1)
## PdAu2F (GGA-PBE)

Data for crystalline PdAu2F at its relaxed geometry.

```
PdAu2F
1.0
2.818 1.602 3.101
-1.093 3.666 2.344
-1.025 -0.344 4.354
Au Pd F
2 1 1
Direct
0.250 0.250 0.250 Au
0.750 0.750 0.750 Au
0.500 0.500 0.500 Pd
0.000 0.000 0.000 F
```

* relative energy among the computed polymorphs: 0 kJ/mol of formula units
* N(E_F): 4.14 states/eV per cell

---

(2)
## PdAu2F (GGA-PBE)

Data for crystalline PdAu2F at its relaxed geometry.

```
PdAu2F
1.0
7.100 0.000 0.000
0.000 7.100 0.000
3.550 3.550 2.680
Au Pd F
4 2 2
Direct
0.597 0.125 0.250 Au
0.153 0.625 0.250 Au
0.375 0.403 0.750 Au
0.875 0.847 0.750 Au
0.000 0.000 0.000 Pd
0.750 0.250 0.500 Pd
0.500 0.500 0.000 F
0.250 0.750 0.500 F
```

* relative energy among the computed polymorphs: 33 kJ/mol of formula units
* N(E_F): 4.32 states/eV per cell

---

(3)
## Pd2AuF11 (GGA-PBE)

Data for crystalline Pd2AuF11 at its relaxed geometry.

```
Pd2AuF11
1.0
7.094 0.000 3.697
3.390 7.697 2.149
-0.010 -0.390 8.672
Pd Au F
4 2 22
Direct
0.720 0.594 0.406 Pd
0.280 0.406 0.594 Pd
0.780 0.094 0.906 Pd
0.220 0.906 0.094 Pd
0.750 0.750 0.750 Au
0.250 0.250 0.250 Au
0.681 0.607 0.653 F
0.319 0.393 0.347 F
0.060 0.653 0.607 F
0.819 0.847 0.893 F
0.940 0.347 0.393 F
0.181 0.153 0.107 F
0.440 0.893 0.847 F
0.560 0.107 0.153 F
0.500 0.500 0.500 F
0.000 0.000 0.000 F
0.928 0.673 0.327 F
0.072 0.327 0.673 F
0.572 0.173 0.827 F
0.428 0.827 0.173 F
0.509 0.821 0.436 F
0.491 0.179 0.564 F
0.234 0.436 0.821 F
0.991 0.064 0.679 F
0.766 0.564 0.179 F
0.009 0.936 0.321 F
0.266 0.679 0.064 F
0.734 0.321 0.936 F
```

* DFT total energy: -3.507 eV/atom

---

(4)
## Pd2AuF (GGA-PBE)

Data for crystalline Pd2AuF at its relaxed geometry.

```
Pd2AuF
1.0
0.000 3.140 3.140
3.140 0.000 3.140
3.140 3.140 0.000
Au Pd F
1 2 1
Direct
0.500 0.500 0.500 Au
0.250 0.250 0.250 Pd
0.750 0.750 0.750 Pd
0.000 0.000 0.000 F
```

* DFT total energy: -3.903 eV/atom
* N(E_F): 7.71 states/eV per cell

---

(5)
## PdAu3F (GGA-PBE)

Data for crystalline PdAu3F at its relaxed geometry.

```
PdAu3F
1.0
5.058 0.000 0.000
0.000 5.058 0.000
0.000 0.000 5.058
Au Pd F
3 1 1
Direct
0.000 0.500 0.000 Au
0.000 0.000 0.500 Au
0.500 0.000 0.000 Au
0.000 0.000 0.000 Pd
0.500 0.500 0.500 F
```

* relative energy among the computed polymorphs: 158 kJ/mol of formula units
* N(E_F): 3.55 states/eV per cell

---

(6)
## PdAuF6 (GGA-PBE)

Data for crystalline PdAuF6 at its relaxed geometry.

```
PdAuF6
1.0
-3.807 0.565 3.760
0.793 -5.453 1.622
5.507 2.345 5.191
Pd Au F
2 2 12
Direct
0.000 0.500 0.500 Pd
0.500 0.000 0.000 Pd
0.000 0.500 0.000 Au
0.500 0.000 0.500 Au
0.123 0.530 0.737 F
0.195 0.820 0.061 F
0.171 0.797 0.438 F
0.329 0.297 0.062 F
0.305 0.320 0.439 F
0.377 0.030 0.763 F
0.623 0.970 0.237 F
0.695 0.680 0.561 F
0.671 0.703 0.938 F
0.805 0.180 0.939 F
0.829 0.203 0.562 F
0.877 0.470 0.263 F
```

* DFT total energy: -3.549 eV/atom
* N(E_F): 8.14 states/eV per cell

---

(7)
## PdAu3F9 (GGA-PBE)

Data for crystalline PdAu3F9 at its relaxed geometry.

```
PdAu3F9
1.0
-4.170 -3.005 -5.663
-4.003 -6.953 1.473
-9.020 2.545 0.127
Pd Au F
2 6 18
Direct
0.104 0.501 0.957 Pd
0.438 0.001 0.457 Pd
0.676 0.665 0.774 Au
0.884 0.165 0.274 Au
0.042 0.031 0.776 Au
0.151 0.531 0.276 Au
0.650 0.168 0.805 Au
0.377 0.668 0.305 Au
0.405 0.149 0.267 F
0.180 0.649 0.767 F
0.319 0.265 0.851 F
0.565 0.765 0.351 F
0.142 0.002 0.541 F
0.315 0.502 0.041 F
0.899 0.720 0.065 F
0.316 0.220 0.565 F
0.726 0.992 0.394 F
0.888 0.492 0.894 F
0.445 0.857 0.670 F
0.028 0.357 0.170 F
0.590 0.408 0.344 F
0.658 0.908 0.844 F
0.656 0.424 0.739 F
0.181 0.924 0.239 F
0.948 0.075 0.997 F
0.980 0.575 0.497 F
```

* DFT total energy: -3.393 eV/atom
* N(E_F): 7.60 states/eV per cell

---

(8)
## Pd3AuF (GGA-PBE)

Data for crystalline Pd3AuF at its relaxed geometry.

```
Pd3AuF
1.0
-3.263 3.026 -2.318
-2.726 -3.986 -1.365
-2.665 0.372 4.236
Au Pd F
1 3 1
Direct
0.000 0.000 0.000 Au
0.000 0.500 0.000 Pd
0.000 0.000 0.500 Pd
0.500 0.000 0.000 Pd
0.500 0.500 0.500 F
```

* relative energy among the computed polymorphs: 324 kJ/mol of formula units
* N(E_F): 6.17 states/eV per cell

---

(9)
## Pd2Au2F7 (GGA-PBE)

Data for crystalline Pd2Au2F7 at its relaxed geometry.

```
Pd2Au2F7
1.0
-5.387 3.286 -1.537
-2.123 -4.979 -0.761
-0.387 0.749 5.400
Pd Au F
2 2 7
Direct
0.000 0.305 0.695 Pd
0.000 0.695 0.305 Pd
0.478 0.306 0.306 Au
0.522 0.694 0.694 Au
0.814 0.914 0.579 F
0.186 0.421 0.086 F
0.186 0.086 0.421 F
0.814 0.579 0.914 F
0.500 0.000 0.000 F
0.191 0.652 0.652 F
0.809 0.348 0.348 F
```

* DFT total energy: -3.541 eV/atom
* N(E_F): 4.31 states/eV per cell

---

(10)
## PdAuF4 (GGA-PBE)

Data for crystalline PdAuF4 at its relaxed geometry.

```
PdAuF4
1.0
6.413 -2.783 1.468
-1.296 6.870 1.468
1.408 1.124 5.833
Pd Au F
2 2 8
Direct
0.065 0.935 0.250 Pd
0.935 0.065 0.750 Pd
0.500 0.000 0.500 Au
0.000 0.500 0.000 Au
0.970 0.603 0.277 F
0.397 0.030 0.223 F
0.030 0.397 0.723 F
0.603 0.970 0.777 F
0.133 0.232 0.276 F
0.768 0.867 0.224 F
0.867 0.768 0.724 F
0.232 0.133 0.776 F
```

* DFT total energy: -3.647 eV/atom
* N(E_F): 6.59 states/eV per cell

---

(11)
## PdAu3F (GGA-PBE)

Data for crystalline PdAu3F at its relaxed geometry.

```
PdAu3F
1.0
-1.441 0.498 -4.275
-2.849 -3.490 0.553
-3.227 2.859 1.421
Au Pd F
3 1 1
Direct
0.000 0.500 0.000 Au
0.000 0.000 0.500 Au
0.500 0.000 0.000 Au
0.500 0.500 0.500 Pd
0.000 0.000 0.000 F
```

* relative energy among the computed polymorphs: 0 kJ/mol of formula units
* N(E_F): 1.95 states/eV per cell

---

(12)
## PdAu2F6 (GGA-PBE)

Data for crystalline PdAu2F6 at its relaxed geometry.

```
PdAu2F6
1.0
0.758 -2.864 3.251
-2.753 -3.160 -2.257
5.239 -5.861 -1.178
Pd Au F
1 2 6
Direct
0.000 0.500 0.500 Pd
0.084 0.924 0.836 Au
0.916 0.076 0.164 Au
0.363 0.645 0.888 F
0.637 0.355 0.112 F
0.182 0.778 0.237 F
0.250 0.778 0.563 F
0.818 0.222 0.763 F
0.750 0.222 0.437 F
```

* DFT total energy: -3.510 eV/atom
* N(E_F): 0.67 states/eV per cell

---

(13)
## RbPdAu2F8 (GGA-PBE)

Data for crystalline RbPdAu2F8 at its relaxed geometry.

```
RbPdAu2F8
1.0
5.328 -0.172 -0.060
2.305 4.806 -0.060
0.262 0.159 8.663
Rb Pd Au F
1 1 2 8
Direct
0.000 0.000 0.500 Rb
0.000 0.000 0.000 Pd
0.703 0.703 0.234 Au
0.297 0.297 0.766 Au
0.776 0.232 0.831 F
0.776 0.776 0.004 F
0.663 0.663 0.461 F
0.337 0.337 0.539 F
0.224 0.224 0.996 F
0.232 0.776 0.831 F
0.768 0.224 0.169 F
0.224 0.768 0.169 F
```

* DFT total energy: -3.573 eV/atom
* N(E_F): 5.62 states/eV per cell

---

(14)
## PdRh2AuF (GGA-PBE)

Data for crystalline PdRh2AuF at its relaxed geometry.

```
PdRh2AuF
1.0
4.173 0.000 0.000
0.000 4.582 0.000
0.000 0.000 4.173
Rh Au Pd F
2 1 1 1
Direct
0.000 0.000 0.500 Rh
0.500 0.000 0.000 Rh
0.500 0.500 0.500 Au
0.000 0.500 0.000 Pd
0.000 0.000 0.000 F
```

* DFT total energy: -4.480 eV/atom
* N(E_F): 7.73 states/eV per cell

---

(15)
## Sc2PdAuF (GGA-PBE)

Data for crystalline Sc2PdAuF at its relaxed geometry.

```
Sc2PdAuF
1.0
-2.880 -2.687 -1.612
0.615 -2.878 3.698
-3.084 2.044 2.104
Sc Au Pd F
2 1 1 1
Direct
0.000 0.000 0.500 Sc
0.500 0.000 0.000 Sc
0.500 0.500 0.500 Au
0.000 0.500 0.000 Pd
0.000 0.000 0.000 F
```

* DFT total energy: -5.620 eV/atom
* N(E_F): 2.63 states/eV per cell

---

(16)
## ZnPdAuF6 (GGA-PBE)

Data for crystalline ZnPdAuF6 at its relaxed geometry.

```
ZnPdAuF6
1.0
-1.722 1.721 -4.926
3.471 -4.243 0.369
-7.793 -6.330 0.514
Zn Pd Au F
2 2 2 12
Direct
0.333 0.667 0.250 Zn
0.667 0.333 0.750 Zn
0.667 0.333 0.250 Pd
0.333 0.667 0.750 Pd
0.000 0.000 0.000 Au
0.000 0.000 0.500 Au
0.647 0.653 0.140 F
0.005 0.353 0.140 F
0.353 0.005 0.640 F
0.995 0.647 0.860 F
0.347 0.353 0.360 F
0.005 0.653 0.360 F
0.653 0.005 0.860 F
0.647 0.995 0.360 F
0.995 0.347 0.640 F
0.347 0.995 0.140 F
0.653 0.647 0.640 F
0.353 0.347 0.860 F
```

* DFT total energy: -3.700 eV/atom
* N(E_F): 5.21 states/eV per cell

---

(17)
## PmAuF (GGA-PBE)

Data for crystalline PmAuF at its relaxed geometry.

```
PmAuF
1.0
-3.067 1.466 0.398
-0.807 -0.812 -3.226
-0.008 -4.839 3.036
Pm Au F
1 1 1
Direct
0.712 0.712 0.423 Pm
0.012 0.012 0.023 Au
0.277 0.277 0.553 F
```

* DFT total energy: -4.983 eV/atom
* N(E_F): 1.63 states/eV per cell

---

(18)
## PmAuF6 (GGA-PBE)

Data for crystalline PmAuF6 at its relaxed geometry.

```
PmAuF6
1.0
10.194 -0.656 -2.574
-2.705 3.369 -0.312
-1.821 0.707 3.866
Pm Au F
1 1 6
Direct
0.500 0.000 0.000 Pm
0.000 0.000 0.000 Au
0.824 0.179 0.653 F
0.824 0.653 0.179 F
0.176 0.347 0.821 F
0.176 0.821 0.347 F
0.535 0.357 0.357 F
0.465 0.643 0.643 F
```

* DFT total energy: -4.863 eV/atom
* N(E_F): 0.00 states/eV per cell

---

(19)
## PrAuF (GGA-PBE)

Data for crystalline PrAuF at its relaxed geometry.

```
PrAuF
1.0
3.971 0.000 0.000
0.000 8.941 0.370
-1.985 -0.564 7.426
Au F Pr
4 4 4
Direct
0.045 0.347 0.091 Au
0.461 0.142 0.922 Au
0.539 0.858 0.078 Au
0.955 0.653 0.909 Au
0.229 0.627 0.458 F
0.753 0.896 0.506 F
0.771 0.373 0.542 F
0.247 0.104 0.494 F
0.369 0.439 0.737 Pr
0.661 0.141 0.322 Pr
0.631 0.561 0.263 Pr
0.339 0.859 0.678 Pr
```

* relative energy among the computed polymorphs: 0 kJ/mol of formula units
* N(E_F): 9.46 states/eV per cell

---

(20)
## PrAuF (GGA-PBE)

Data for crystalline PrAuF at its relaxed geometry.

```
PrAuF
1.0
3.493 0.000 0.000
0.000 3.493 0.000
-1.747 -1.747 5.185
Pr Au F
1 1 1
Direct
0.713 0.713 0.426 Pr
0.011 0.011 0.022 Au
0.276 0.276 0.552 F
```

* relative energy among the computed polymorphs: 96 kJ/mol of formula units
* N(E_F): 1.72 states/eV per cell

---

(21)
## PrAuF (GGA-PBE)

Data for crystalline PrAuF at its relaxed geometry.

```
PrAuF
1.0
4.316 0.000 0.000
0.000 4.191 0.000
0.000 -2.096 3.630
Pr Au F
1 1 1
Direct
0.167 0.000 0.000 Pr
0.667 0.667 0.333 Au
0.166 0.333 0.667 F
```

* relative energy among the computed polymorphs: 21 kJ/mol of formula units
* N(E_F): 2.52 states/eV per cell

---

(22)
## Pr2AuF (GGA-PBE)

Data for crystalline Pr2AuF at its relaxed geometry.

```
Pr2AuF
1.0
-3.561 -1.595 -2.492
0.526 -3.765 -2.642
-3.094 -6.104 4.028
Pr Au F
2 1 1
Direct
0.103 0.103 0.690 Pr
0.897 0.897 0.310 Pr
0.500 0.500 0.500 Au
0.000 0.000 0.000 F
```

* DFT total energy: -5.204 eV/atom
* N(E_F): 3.67 states/eV per cell